A plane-wave DFT calculation with SCAN was carried out for a crystal of Ta2CoPb relaxed with PBEsol.

```
4
Lattice="-1.313 -2.714 -0.528 4.370 -1.929 -0.957 -0.983 -0.449 4.751" Properties=species:S:1:pos:R:3 pbc="T T T"
Co -0.657 -1.357 -0.264
Pb 1.037 -2.546 1.633
Ta 2.185 -0.964 -0.479
Ta -0.491 -0.224 2.375
```

Values from the calculation:
energy relative to the elements: 0.382 eV per atom


A plane-wave DFT calculation with SCAN was carried out for a crystal of Ni2SbRu relaxed with PBEsol.

```
4
Lattice="2.862 0.000 0.000 1.431 2.479 0.000 1.431 0.826 8.021" Properties=species:S:1:pos:R:3 pbc="T T T"
Ni 1.431 0.826 2.064
Ni 4.293 2.479 5.956
Ru 2.862 1.653 4.010
Sb 0.000 0.000 0.000
```

Values from the calculation:
E_form (uncorrected): 12.0 kcal/mol of atoms


A plane-wave DFT calculation with SCAN was carried out for a crystal of LaMn2Fe relaxed with PBEsol.

```
4
Lattice="-1.355 -2.905 -0.654 -0.321 -0.801 4.219 -4.098 1.901 0.049" Properties=species:S:1:pos:R:3 pbc="T T T"
Fe -2.727 -0.502 -0.303
La -2.209 0.550 2.134
Mn 0.000 0.000 0.000
Mn -0.838 -1.853 1.782
```

Values from the calculation:
energy relative to the elements: 0.386 eV per atom
excess energy over the best structure of this formula in the dataset: 147 meV/atom